1.
VASP calculation (PBE) on Cs4Rb3Hg after structural relaxation.

Properties
Space group: Pmmn, No. 59
Formation enthalpy at 0 K: -0.04 eV/atom

abc: 7.4179 12.5912 15.1681
angles: 90.00 90.00 90.00
Last column: nearest neighbours and their distance in Å.
Fractional positions:
Cs1 0.0646 0.8897 0.0000  4 Rb 4.84-4.96, 2 Cs 5.05
Cs2 0.5643 0.4998 0.0000  2 Hg 4.28, 5 Rb 4.39-4.64
Cs3 0.0645 0.1757 0.2337  1 Hg 4.04
Cs4 0.5645 0.8243 0.2663  1 Hg 4.04
Cs5 0.0643 0.5002 0.5000  2 Hg 4.28, 5 Rb 4.39-4.64
Cs6 0.5646 0.1103 0.5000  4 Rb 4.84-4.96, 2 Cs 5.05
Cs7 0.5645 0.8243 0.7337  1 Hg 4.04
Cs8 0.0645 0.1757 0.7663  1 Hg 4.04
Hg1 0.0644 0.3300 0.0000  4 Rb 4.01-4.34, 4 Cs 4.04-4.28
Hg2 0.5644 0.6700 0.5000  4 Rb 4.01-4.34, 4 Cs 4.04-4.28
Rb1 0.5645 0.1510 0.0000  2 Hg 4.34, 1 Cs 4.39
Rb2 0.0643 0.5682 0.1752  1 Hg 4.01
Rb3 0.5643 0.4318 0.3248  1 Hg 4.01
Rb4 0.0645 0.8490 0.5000  2 Hg 4.34, 1 Cs 4.39
Rb5 0.5643 0.4318 0.6752  1 Hg 4.01
Rb6 0.0643 0.5682 0.8248  1 Hg 4.01

---

2.
VASP calculation (PBE) on AsSe2Br after structural relaxation.

Properties
Space group: I4/mmm, No. 139
Formation energy (no corrections): 0.33 eV/atom
Energy above the lowest structure with this stoichiometry: 480 meV/atom

abc: 4.9892 4.9858 4.9821
angles: 69.46 72.70 110.60
Last column: nearest neighbours and their distance in Å.
Fractional positions:
As1 0.0000 0.5000 0.5000  4 Se 2.84, 2 Br 2.96
Se1 0.0000 0.0000 0.0000  2 Br 2.84, 2 As 2.84, 2 Se 2.96
Se2 0.5000 0.0000 0.5000  2 As 2.84, 2 Br 2.84, 2 Se 2.96
Br1 0.5000 0.5000 0.0000  4 Se 2.84, 2 As 2.96

---

3.
VASP calculation (PBE) on NbSn3Ir after structural relaxation.

Properties
Space group: Pm-3m, No. 221
Formation enthalpy at 0 K: 0.79 eV/atom
Energy above the lowest structure with this stoichiometry: 0 meV/atom

abc: 5.1132 5.1132 5.1132
angles: 90.00 90.00 90.00
Last column: nearest neighbours and their distance in Å.
Fractional positions:
Nb1 0.5000 0.5000 0.5000  12 Sn 3.62
Ir1 0.0000 0.0000 0.0000  6 Sn 2.56
Sn1 0.0000 0.5000 0.0000  2 Ir 2.56
Sn2 0.0000 0.0000 0.5000  2 Ir 2.56
Sn3 0.5000 0.0000 0.0000  2 Ir 2.56

---

4.
VASP calculation (PBE) on Y2Ho3NpN6 after structural relaxation.

Properties
Space group: C2/m, No. 12
Formation energy (no corrections): -1.63 eV/atom

abc: 5.9776 5.9776 5.9682
angles: 99.58 99.58 120.02
Last column: nearest neighbours and their distance in Å.
Fractional positions:
Y1 0.3334 0.6666 0.0000  6 N 2.45-2.46
Y2 0.6666 0.3334 0.0000  6 N 2.45-2.46
Ho1 0.1679 0.8321 0.5000  6 N 2.42-2.51
Ho2 0.8321 0.1679 0.5000  6 N 2.42-2.51
Ho3 0.5000 0.5000 0.5000  6 N 2.42-2.54
Np1 0.0000 0.0000 0.0000  6 N 2.34-2.36
N1 0.9180 0.5984 0.7544  1 Np 2.36, 3 Ho 2.42-2.51, 2 Y 2.46
N2 0.7631 0.7631 0.2423  1 Np 2.34, 3 Ho 2.44-2.54, 2 Y 2.45
N3 0.0820 0.4016 0.2456  1 Np 2.36, 3 Ho 2.42-2.51, 2 Y 2.46
N4 0.5984 0.9180 0.7544  1 Np 2.36, 3 Ho 2.42-2.51, 2 Y 2.46
N5 0.2369 0.2369 0.7577  1 Np 2.34, 3 Ho 2.44-2.54, 2 Y 2.45
N6 0.4016 0.0820 0.2456  1 Np 2.36, 3 Ho 2.42-2.51, 2 Y 2.46

---

5.
VASP calculation (PBE) on Pa2GaPt after structural relaxation.

Properties
Space group: P4/mmm, No. 123
Formation enthalpy at 0 K: -0.56 eV/atom
Energy above the lowest structure with this stoichiometry: 0 meV/atom

abc: 4.3308 4.3757 4.3757
angles: 90.00 90.00 90.00
Last column: nearest neighbours and their distance in Å.
Fractional positions:
Pa1 0.0000 0.0000 0.5000  4 Pt 3.08, 4 Ga 3.08, 4 Pa 3.09
Pa2 0.0000 0.5000 0.0000  4 Pt 3.08, 4 Ga 3.08, 4 Pa 3.09
Ga1 0.5000 0.0000 0.0000  8 Pa 3.08, 4 Pt 3.09
Pt1 0.5000 0.5000 0.5000  8 Pa 3.08, 4 Ga 3.09

---

6.
VASP calculation (PBE) on Sm4Tm4Cd after structural relaxation.

Properties
Space group: I4/mmm, No. 139
Formation enthalpy at 0 K: -0.01 eV/atom

abc: 4.9520 7.8520 7.8520
angles: 84.29 71.62 71.62
Last column: nearest neighbours and their distance in Å.
Fractional positions:
Sm1 0.6643 0.6712 0.0001  4 Sm 3.46-3.56, 2 Cd 3.48, 6 Tm 3.51-3.54
Sm2 0.3357 0.3288 0.9999  4 Sm 3.46-3.56, 2 Cd 3.48, 6 Tm 3.51-3.54
Sm3 0.6644 0.9999 0.6712  4 Sm 3.46-3.56, 2 Cd 3.48, 6 Tm 3.51-3.54
Sm4 0.3356 0.0001 0.3288  4 Sm 3.46-3.56, 2 Cd 3.48, 6 Tm 3.51-3.54
Tm1 0.6653 0.3347 0.3346  5 Tm 3.48-3.49, 6 Sm 3.51-3.54, 1 Cd 3.53
Tm2 0.3347 0.6653 0.6654  5 Tm 3.48-3.49, 6 Sm 3.51-3.54, 1 Cd 3.53
Tm3 0.0000 0.6654 0.3347  5 Tm 3.48-3.49, 6 Sm 3.51-3.54, 1 Cd 3.53
Tm4 0.0000 0.3346 0.6653  5 Tm 3.48-3.49, 6 Sm 3.51-3.54, 1 Cd 3.53
Cd1 0.0000 0.0000 0.0000  8 Sm 3.48, 4 Tm 3.53

---

7.
VASP calculation (PBE) on LaCdRe2 after structural relaxation.

Properties
Space group: Cmm2, No. 35
Formation enthalpy at 0 K: 0.51 eV/atom

abc: 2.8951 2.8951 10.3144
angles: 90.00 90.00 114.33
Last column: nearest neighbours and their distance in Å.
Fractional positions:
Re1 0.0000 0.0000 0.0292  2 Re 2.57
Re2 0.5000 0.5000 0.2260  2 Re 2.57
Cd1 0.0000 0.0000 0.4711  6 Cd 2.90-3.14, 2 Re 2.98
La1 0.5000 0.5000 0.7737  6 La 2.90-3.14, 2 Re 3.07

---

8.
VASP calculation (PBE) on Na3Ho2SnS6 after structural relaxation.

Properties
Space group: C2/m, No. 12
Formation energy (no corrections): -1.45 eV/atom

abc: 6.8807 6.8807 7.0528
angles: 99.37 99.37 119.99
Last column: nearest neighbours and their distance in Å.
Fractional positions:
Na1 0.1638 0.8362 0.5000  6 S 2.91-2.95
Na2 0.8362 0.1638 0.5000  6 S 2.91-2.95
Na3 0.5000 0.5000 0.5000  6 S 2.93
Ho1 0.3331 0.6669 0.0000  6 S 2.74
Ho2 0.6669 0.3331 0.0000  6 S 2.74
Sn1 0.0000 0.0000 0.0000  6 S 2.75
S1 0.9243 0.5906 0.7739  2 Ho 2.74, 1 Sn 2.75, 3 Na 2.93-2.95
S2 0.7410 0.7410 0.2253  2 Ho 2.74, 1 Sn 2.75, 3 Na 2.91-2.93
S3 0.0757 0.4094 0.2261  2 Ho 2.74, 1 Sn 2.75, 3 Na 2.93-2.95
S4 0.5906 0.9243 0.7739  2 Ho 2.74, 1 Sn 2.75, 3 Na 2.93-2.95
S5 0.2590 0.2590 0.7747  2 Ho 2.74, 1 Sn 2.75, 3 Na 2.91-2.93
S6 0.4094 0.0757 0.2261  2 Ho 2.74, 1 Sn 2.75, 3 Na 2.93-2.95